#P
VASP calculation (PBE) on a relaxed structure of RbCoSN2.

```
data_RbCoSN2
_chemical_formula_sum 'Rb1 Co1 S1 N2'
_space_group_name_H-M_alt 'P 4/m m m'
_space_group_IT_number 123
_space_group_name_Hall '-P 4 2'
_cell_length_a 4.114
_cell_length_b 4.114
_cell_length_c 4.645
_cell_angle_alpha 90.00
_cell_angle_beta 90.00
_cell_angle_gamma 90.00
loop_
_atom_site_label
_atom_site_type_symbol
_atom_site_fract_x
_atom_site_fract_y
_atom_site_fract_z
Rb1 Rb 0.000 0.000 0.000
Co1 Co 0.500 0.500 0.500
S1 S 0.500 0.500 0.000
N1 N 0.000 0.500 0.500
```



#Q
VASP calculation (PBE) on a relaxed structure of RbCoSN2.

```
data_RbCoSN2
_chemical_formula_sum 'Rb1 Co1 S1 N2'
_space_group_name_H-M_alt 'P 4/m m m'
_space_group_IT_number 123
_space_group_name_Hall '-P 4 2'
_cell_length_a 5.026
_cell_length_b 5.026
_cell_length_c 6.261
_cell_angle_alpha 90.00
_cell_angle_beta 90.00
_cell_angle_gamma 90.00
loop_
_atom_site_label
_atom_site_type_symbol
_atom_site_fract_x
_atom_site_fract_y
_atom_site_fract_z
Rb1 Rb 0.000 0.000 0.000
Co1 Co 0.500 0.500 0.500
S1 S 0.000 0.000 0.500
N1 N 0.000 0.500 0.000
```



#P takes first place; second place is 1811 meV/atom up.



#P
VASP calculation (PBE) on a relaxed structure of Co3ReN.

```
data_Co3ReN
_chemical_formula_sum 'Co3 Re1 N1'
_space_group_name_H-M_alt 'P m -3 m'
_space_group_IT_number 221
_space_group_name_Hall '-P 4 2 3'
_cell_length_a 3.781
_cell_length_b 3.781
_cell_length_c 3.781
_cell_angle_alpha 90.00
_cell_angle_beta 90.00
_cell_angle_gamma 90.00
loop_
_atom_site_label
_atom_site_type_symbol
_atom_site_fract_x
_atom_site_fract_y
_atom_site_fract_z
Co1 Co 0.000 0.000 0.500
Re1 Re 0.500 0.500 0.500
N1 N 0.000 0.000 0.000
```



#Q
VASP calculation (PBE) on a relaxed structure of Co3ReN.

```
data_Co3ReN
_chemical_formula_sum 'Co3 Re1 N1'
_space_group_name_H-M_alt 'P m -3 m'
_space_group_IT_number 221
_space_group_name_Hall '-P 4 2 3'
_cell_length_a 4.462
_cell_length_b 4.462
_cell_length_c 4.462
_cell_angle_alpha 90.00
_cell_angle_beta 90.00
_cell_angle_gamma 90.00
loop_
_atom_site_label
_atom_site_type_symbol
_atom_site_fract_x
_atom_site_fract_y
_atom_site_fract_z
Co1 Co 0.000 0.000 0.500
Re1 Re 0.000 0.000 0.000
N1 N 0.500 0.500 0.500
```



#P takes first place; second place is 2206 meV/atom up.



#P
VASP calculation (PBE) on a relaxed structure of CoReS2N.

```
data_CoReS2N
_chemical_formula_sum 'Co1 Re1 S2 N1'
_space_group_name_H-M_alt 'P 4/m m m'
_space_group_IT_number 123
_space_group_name_Hall '-P 4 2'
_cell_length_a 4.777
_cell_length_b 4.777
_cell_length_c 3.715
_cell_angle_alpha 90.00
_cell_angle_beta 90.00
_cell_angle_gamma 90.00
loop_
_atom_site_label
_atom_site_type_symbol
_atom_site_fract_x
_atom_site_fract_y
_atom_site_fract_z
Co1 Co 0.000 0.000 0.000
Re1 Re 0.500 0.500 0.500
S1 S 0.000 0.500 0.500
N1 N 0.500 0.500 0.000
```



#Q
VASP calculation (PBE) on a relaxed structure of CoReS2N.

```
data_CoReS2N
_chemical_formula_sum 'Co1 Re1 S2 N1'
_space_group_name_H-M_alt 'P 4/m m m'
_space_group_IT_number 123
_space_group_name_Hall '-P 4 2'
_cell_length_a 4.582
_cell_length_b 4.582
_cell_length_c 3.292
_cell_angle_alpha 90.00
_cell_angle_beta 90.00
_cell_angle_gamma 90.00
loop_
_atom_site_label
_atom_site_type_symbol
_atom_site_fract_x
_atom_site_fract_y
_atom_site_fract_z
Co1 Co 0.000 0.000 0.000
Re1 Re 0.500 0.500 0.500
S1 S 0.000 0.500 0.000
N1 N 0.000 0.000 0.500
```



#P takes first place; second place is 291 meV/atom up.



#P
VASP calculation (PBE) on a relaxed structure of CoRhN2.

```
data_CoRhN2
_chemical_formula_sum 'Co4 Rh4 N8'
_space_group_name_H-M_alt 'F m -3 m'
_space_group_IT_number 225
_space_group_name_Hall '-F 4 2 3'
_cell_length_a 5.272
_cell_length_b 5.272
_cell_length_c 5.272
_cell_angle_alpha 90.00
_cell_angle_beta 90.00
_cell_angle_gamma 90.00
loop_
_atom_site_label
_atom_site_type_symbol
_atom_site_fract_x
_atom_site_fract_y
_atom_site_fract_z
Co1 Co 0.000 0.000 0.000
Rh1 Rh 0.000 0.000 0.500
N1 N 0.250 0.250 0.250
```



#Q
VASP calculation (PBE) on a relaxed structure of CoRhN2.

```
data_CoRhN2
_chemical_formula_sum 'Co3 Rh3 N6'
_space_group_name_H-M_alt 'R -3 m'
_space_group_IT_number 166
_space_group_name_Hall '-R 3 2"'
_cell_length_a 2.7466
_cell_length_b 2.7466
_cell_length_c 18.2437
_cell_angle_alpha 90.00
_cell_angle_beta 90.00
_cell_angle_gamma 120.00
loop_
_atom_site_label
_atom_site_type_symbol
_atom_site_fract_x
_atom_site_fract_y
_atom_site_fract_z
Co1 Co 0.0000 0.0000 0.0000
Rh1 Rh 0.0000 0.0000 0.5000
N1 N 0.0000 0.0000 0.3933
```



#Q takes first place; second place is 694 meV/atom up.



#P
VASP calculation (PBE) on a relaxed structure of CoRh3N.

```
data_CoRh3N
_chemical_formula_sum 'Co1 Rh3 N1'
_space_group_name_H-M_alt 'P m -3 m'
_space_group_IT_number 221
_space_group_name_Hall '-P 4 2 3'
_cell_length_a 4.473
_cell_length_b 4.473
_cell_length_c 4.473
_cell_angle_alpha 90.00
_cell_angle_beta 90.00
_cell_angle_gamma 90.00
loop_
_atom_site_label
_atom_site_type_symbol
_atom_site_fract_x
_atom_site_fract_y
_atom_site_fract_z
Co1 Co 0.000 0.000 0.000
Rh1 Rh 0.000 0.000 0.500
N1 N 0.500 0.500 0.500
```



#Q
VASP calculation (PBE) on a relaxed structure of CoRh3N.

```
data_CoRh3N
_chemical_formula_sum 'Co1 Rh3 N1'
_space_group_name_H-M_alt 'P m -3 m'
_space_group_IT_number 221
_space_group_name_Hall '-P 4 2 3'
_cell_length_a 4.027
_cell_length_b 4.027
_cell_length_c 4.027
_cell_angle_alpha 90.00
_cell_angle_beta 90.00
_cell_angle_gamma 90.00
loop_
_atom_site_label
_atom_site_type_symbol
_atom_site_fract_x
_atom_site_fract_y
_atom_site_fract_z
Co1 Co 0.000 0.000 0.000
Rh1 Rh 0.000 0.500 0.500
N1 N 0.500 0.500 0.500
```



#Q takes first place; second place is 1834 meV/atom up.



#P
VASP calculation (PBE) on a relaxed structure of CoRhS2N.

```
data_CoRhS2N
_chemical_formula_sum 'Co1 Rh1 S2 N1'
_space_group_name_H-M_alt 'P 4/m m m'
_space_group_IT_number 123
_space_group_name_Hall '-P 4 2'
_cell_length_a 4.854
_cell_length_b 4.854
_cell_length_c 3.600
_cell_angle_alpha 90.00
_cell_angle_beta 90.00
_cell_angle_gamma 90.00
loop_
_atom_site_label
_atom_site_type_symbol
_atom_site_fract_x
_atom_site_fract_y
_atom_site_fract_z
Co1 Co 0.000 0.000 0.000
Rh1 Rh 0.500 0.500 0.500
S1 S 0.000 0.500 0.500
N1 N 0.500 0.500 0.000
```



#Q
VASP calculation (PBE) on a relaxed structure of CoRhS2N.

```
data_CoRhS2N
_chemical_formula_sum 'Co1 Rh1 S2 N1'
_space_group_name_H-M_alt 'P 4/m m m'
_space_group_IT_number 123
_space_group_name_Hall '-P 4 2'
_cell_length_a 4.590
_cell_length_b 4.590
_cell_length_c 3.309
_cell_angle_alpha 90.00
_cell_angle_beta 90.00
_cell_angle_gamma 90.00
loop_
_atom_site_label
_atom_site_type_symbol
_atom_site_fract_x
_atom_site_fract_y
_atom_site_fract_z
Co1 Co 0.000 0.000 0.000
Rh1 Rh 0.500 0.500 0.500
S1 S 0.000 0.500 0.000
N1 N 0.000 0.000 0.500
```



#Q takes first place; second place is 272 meV/atom up.